Below is MoAu3 at its PBEsol-relaxed geometry, with properties calculated at the SCAN level.

## Properties
Volume (Å³/atom): 16.41
Energy (eV per atom): -60.35
Formation energy from the elements (eV/atom): 0.24

Structure (CIF):
```
data_MoAu3
_chemical_formula_sum 'Mo1 Au3'
_symmetry_space_group_name_H-M 'P m m 2'
_symmetry_Int_Tables_number 25
_cell_length_a 2.727
_cell_length_b 4.661
_cell_length_c 5.164
_cell_angle_alpha 90.00
_cell_angle_beta 90.00
_cell_angle_gamma 90.00
loop_
_symmetry_equiv_pos_as_xyz
'x,y,z'
'-x,-y,z'
'-x,y,z'
'x,-y,z'
loop_
_atom_site_label
_atom_site_type_symbol
_atom_site_fract_x
_atom_site_fract_y
_atom_site_fract_z
_atom_site_occupancy
Mo1 Mo 0.000 0.000 0.000 1
Au1 Au 0.000 0.500 0.697 1
Au2 Au 0.500 0.000 0.498 1
Au3 Au 0.500 0.500 0.183 1
```